Entry 1:
# BiPd3I, relaxed, DFT PBE-GGA
data_BiPd3I
_symmetry_space_group_name_H-M 'P 1'
_symmetry_Int_Tables_number 1
_cell_length_a 5.0330
_cell_length_b 5.0330
_cell_length_c 5.0330
_cell_angle_alpha 90.00
_cell_angle_beta 90.00
_cell_angle_gamma 90.00
loop_
_symmetry_equiv_pos_as_xyz
'x,y,z'
loop_
_atom_site_label
_atom_site_fract_x
_atom_site_fract_y
_atom_site_fract_z
Bi1 0.0000 0.0000 0.0000
Pd1 0.0000 0.5000 0.5000
Pd2 0.5000 0.0000 0.5000
Pd3 0.5000 0.5000 0.0000
I1 0.5000 0.5000 0.5000
# Relative energy among the computed polymorphs   556.8 meV/atom
# E_tot   -18.50 eV/cell
# DOS at the Fermi energy   0.700 states/eV/atom
# Crystal system   cubic

Entry 2:
# Bi2Pd2I, relaxed, DFT PBE-GGA
data_Bi2Pd2I
_symmetry_space_group_name_H-M 'P 1'
_symmetry_Int_Tables_number 1
_cell_length_a 8.9851
_cell_length_b 8.9851
_cell_length_c 8.9851
_cell_angle_alpha 154.25
_cell_angle_beta 154.25
_cell_angle_gamma 36.74
loop_
_symmetry_equiv_pos_as_xyz
'x,y,z'
loop_
_atom_site_label
_atom_site_fract_x
_atom_site_fract_y
_atom_site_fract_z
Bi1 0.1363 0.1363 0.0000
Bi2 0.8637 0.8637 0.0000
Pd1 0.2500 0.7500 0.5000
Pd2 0.7500 0.2500 0.5000
I1 0.5000 0.5000 0.0000
# Relative energy among the computed polymorphs   0.0 meV/atom
# E_tot   -20.78 eV/cell
# DOS at the Fermi energy   0.384 states/eV/atom
# Crystal system   tetragonal

Entry 3:
# BiPdI3, relaxed, DFT PBE-GGA
data_BiPdI3
_symmetry_space_group_name_H-M 'P 1'
_symmetry_Int_Tables_number 1
_cell_length_a 5.4631
_cell_length_b 5.4631
_cell_length_c 5.4631
_cell_angle_alpha 90.00
_cell_angle_beta 90.00
_cell_angle_gamma 90.00
loop_
_symmetry_equiv_pos_as_xyz
'x,y,z'
loop_
_atom_site_label
_atom_site_fract_x
_atom_site_fract_y
_atom_site_fract_z
Bi1 0.0000 0.0000 0.0000
Pd1 0.5000 0.5000 0.5000
I1 0.0000 0.5000 0.5000
I2 0.5000 0.0000 0.5000
I3 0.5000 0.5000 0.0000
# Relative energy among the computed polymorphs   0.0 meV/atom
# E_tot   -13.21 eV/cell
# DOS at the Fermi energy   0.694 states/eV/atom
# Crystal system   cubic

- Which value of relative energy among the computed polymorphs does entry 3 give?
  0.0 meV/atom

- Number 3 is which compound?
  BiPdI3

- Which of these has the highest DOS at the Fermi energy?
  BiPd3I

What did the third record say?
# BiPdI3, relaxed, DFT PBE-GGA
data_BiPdI3
_symmetry_space_group_name_H-M 'P 1'
_symmetry_Int_Tables_number 1
_cell_length_a 5.4631
_cell_length_b 5.4631
_cell_length_c 5.4631
_cell_angle_alpha 90.00
_cell_angle_beta 90.00
_cell_angle_gamma 90.00
loop_
_symmetry_equiv_pos_as_xyz
'x,y,z'
loop_
_atom_site_label
_atom_site_fract_x
_atom_site_fract_y
_atom_site_fract_z
Bi1 0.0000 0.0000 0.0000
Pd1 0.5000 0.5000 0.5000
I1 0.0000 0.5000 0.5000
I2 0.5000 0.0000 0.5000
I3 0.5000 0.5000 0.0000
# Relative energy among the computed polymorphs   0.0 meV/atom
# E_tot   -13.21 eV/cell
# DOS at the Fermi energy   0.694 states/eV/atom
# Crystal system   cubic